w) Computed, not measured: a relaxed AlCuNiOs crystal at the GGA-PBE level of DFT.

Lattice parameters (Å, degrees): 4.168 4.168 4.168 60.00 60.00 60.00
Sites, in units of the cell vectors:
Al: 0.000 0.000 0.000
Cu: 0.250 0.250 0.250
Ni: 0.500 0.500 0.500
Os: 0.750 0.750 0.750

Results
As for the symmetry: F-43m.

x) Computed, not measured: a relaxed AlCuNiOs crystal at the GGA-PBE level of DFT.

Lattice parameters (Å, degrees): 4.162 4.162 4.162 60.00 60.00 60.00
Sites, in units of the cell vectors:
Al: 0.000 0.000 0.000
Cu: 0.250 0.250 0.250
Ni: 0.750 0.750 0.750
Os: 0.500 0.500 0.500

Results
As for the symmetry: F-43m.

Stability, highest: w)